(1)
Density functional theory data (PBE) for a geometry-optimized SmErPt10 structure.

Calculated values
SG: No. 47

Cell and atoms, written as POSCAR:
```
SmErPt10
1.0
4.459 0.000 0.000
0.000 5.380 0.000
0.000 0.000 9.264
Sm Er Pt
1 1 10
Direct
0.000 0.000 0.000
0.000 0.500 0.500
0.000 0.000 0.336
0.000 0.000 0.664
0.000 0.500 0.170
0.000 0.500 0.830
0.500 0.000 0.500
0.500 0.251 0.251
0.500 0.251 0.749
0.500 0.500 0.000
0.500 0.749 0.251
0.500 0.749 0.749
```


(2)
Density functional theory data (PBE) for a geometry-optimized Th2Ga3Pd5 structure.

Calculated values
SG: No. 72
Energy above the lowest structure with this stoichiometry (meV/atom): 0

Cell and atoms, written as POSCAR:
```
Th2Ga3Pd5
1.0
-5.625 5.718 2.999
5.625 -5.718 2.999
5.625 5.718 -2.999
Th Ga Pd
4 6 10
Direct
0.133 0.218 0.351
0.367 0.718 0.085
0.633 0.282 0.915
0.867 0.782 0.649
0.141 0.889 0.030
0.250 0.750 0.500
0.359 0.389 0.748
0.641 0.611 0.252
0.750 0.250 0.500
0.859 0.111 0.970
0.028 0.750 0.278
0.097 0.671 0.768
0.250 0.250 0.000
0.403 0.171 0.574
0.472 0.750 0.722
0.528 0.250 0.278
0.597 0.829 0.426
0.750 0.750 0.000
0.903 0.329 0.232
0.972 0.250 0.722
```


no.,ΔH_f (0 K) (eV/atom),uncorrected energy (eV/atom)
1,-0.69,-6.4973
2,-0.77,-5.7599